No. 1
VASP calculation (PBE-GGA) on TlIn14Ag after structural relaxation.

Summary:
Formation enthalpy at 0 K (eV per atom): 0.0373
Total energy (eV/atom): -2.685
Crystal system: tetragonal
Volume (Å³/atom): 26.8

a b c (Å): 7.3036 7.3036 8.0361
angles (deg): 90.00 90.00 90.01
Last column: nearest neighbours and their distance in Å.
Element x y z (fractional)
In 0.1340 0.1340 0.2569  1 Ag 3.16, 8 In 3.23-3.52, 1 Tl 3.31
Ag 0.3750 0.3750 0.5000  8 In 3.16-3.17
In 0.6160 0.6160 0.7432  1 Ag 3.17, 8 In 3.23-3.52, 1 Tl 3.31
In 0.8750 0.3750 0.0000  12 In 3.31-3.65
Tl 0.8750 0.8750 0.5000  12 In 3.31-3.65
In 0.1340 0.6160 0.7432  1 Ag 3.17, 8 In 3.23-3.52, 1 Tl 3.31
In 0.6160 0.1340 0.7432  1 Ag 3.17, 8 In 3.23-3.52, 1 Tl 3.31
In 0.8750 0.3750 0.5000  8 In 3.24
In 0.6160 0.6160 0.2568  1 Ag 3.17, 8 In 3.23-3.52, 1 Tl 3.31
In 0.1340 0.6160 0.2568  1 Ag 3.17, 8 In 3.23-3.52, 1 Tl 3.31
In 0.3750 0.8750 0.0000  12 In 3.31-3.65
In 0.3750 0.3750 0.0000  8 In 3.23
In 0.3750 0.8750 0.5000  8 In 3.24
In 0.6160 0.1340 0.2568  1 Ag 3.17, 8 In 3.23-3.52, 1 Tl 3.31
In 0.8750 0.8750 0.0000  12 In 3.38-3.65
In 0.1340 0.1340 0.7431  1 Ag 3.16, 8 In 3.23-3.52, 1 Tl 3.31

No. 2
VASP calculation (PBE-GGA) on SmZr2Pa after structural relaxation.

Summary:
Formation enthalpy at 0 K (eV per atom): 0.2962
Total energy (eV/atom): -7.532
Crystal system: trigonal
Volume (Å³/atom): 26.7
ΔE to the lowest computed polymorph (kJ per mole of atoms): 15.74

a b c (Å): 3.2589 3.2589 11.7604
angles (deg): 82.04 82.04 60.00
Last column: nearest neighbours and their distance in Å.
Element x y z (fractional)
Sm 0.0000 0.0000 0.0000  2 Zr 3.17, 6 Sm 3.26
Zr 0.9090 0.9090 0.2731  1 Sm 3.17, 3 Pa 3.24, 6 Zr 3.26
Pa 0.5000 0.5000 0.5000  6 Zr 3.24, 6 Pa 3.26
Zr 0.0910 0.0910 0.7269  1 Sm 3.17, 3 Pa 3.24, 6 Zr 3.26

No. 3
VASP calculation (PBE-GGA) on Zr3BeCo after structural relaxation.

Summary:
Formation enthalpy at 0 K (eV per atom): 0.4809
Total energy (eV/atom): -6.814
Crystal system: cubic
Volume (Å³/atom): 21.8
ΔE to the lowest computed polymorph (kJ per mole of atoms): 0.00

a b c (Å): 4.7770 4.7770 4.7770
angles (deg): 90.00 90.00 90.00
Last column: nearest neighbours and their distance in Å.
Element x y z (fractional)
Zr 0.0000 0.0000 0.5000  2 Co 2.39
Co 0.0000 0.0000 0.0000  6 Zr 2.39
Be 0.5000 0.5000 0.5000  12 Zr 3.38
Zr 0.5000 0.0000 0.0000  2 Co 2.39
Zr 0.0000 0.5000 0.0000  2 Co 2.39

No. 4
VASP calculation (PBE-GGA) on Hf3ScSe8 after structural relaxation.

Summary:
Total energy (eV/atom): -6.672
Crystal system: monoclinic
Volume (Å³/atom): 27.4
Raw formation energy (eV per atom): -1.333

a b c (Å): 7.5175 7.5211 8.0504
angles (deg): 118.55 90.00 119.98
Last column: nearest neighbours and their distance in Å.
Element x y z (fractional)
Se 0.2573 0.0086 0.7649  2 Hf 2.67, 1 Sc 2.71
Se 0.7513 0.0086 0.7649  2 Hf 2.67, 1 Sc 2.71
Se 0.7512 0.5025 0.7649  2 Hf 2.67, 1 Sc 2.71
Sc 0.0000 0.0000 0.0000  6 Se 2.71
Se 0.2488 0.4975 0.2351  2 Hf 2.67, 1 Sc 2.71
Hf 0.5000 0.5000 0.0000  6 Se 2.67-2.69
Se 0.2487 0.9914 0.2351  2 Hf 2.67, 1 Sc 2.71
Hf 0.5000 0.0000 0.0000  6 Se 2.67-2.69
Hf 0.0000 0.5000 0.0000  6 Se 2.67-2.69
Se 0.7427 0.9914 0.2351  2 Hf 2.67, 1 Sc 2.71
Se 0.7476 0.4951 0.2375  3 Hf 2.69
Se 0.2524 0.5049 0.7625  3 Hf 2.69

No. 5
VASP calculation (PBE-GGA) on BeCoCuPd2 after structural relaxation.

Summary:
Formation enthalpy at 0 K (eV per atom): 1.1467
Total energy (eV/atom): -3.916
Crystal system: tetragonal
Volume (Å³/atom): 17.0

a b c (Å): 4.5184 4.1610 4.5184
angles (deg): 90.00 90.00 90.00
Last column: nearest neighbours and their distance in Å.
Element x y z (fractional)
Co 0.0000 0.5000 0.0000  2 Cu 2.08
Pd 0.5000 0.0000 0.0000  2 Cu 2.26
Pd 0.0000 0.0000 0.5000  2 Cu 2.26
Be 0.5000 0.5000 0.5000  8 Pd 3.07, 4 Co 3.19
Cu 0.0000 0.0000 0.0000  2 Co 2.08, 4 Pd 2.26

No. 6
VASP calculation (PBE-GGA) on MgSn2I after structural relaxation.

Summary:
Total energy (eV/atom): -2.464
Crystal system: tetragonal
Volume (Å³/atom): 41.2
ΔE to the lowest computed polymorph (kJ per mole of atoms): 10.79
Raw formation energy (eV per atom): 0.324

a b c (Å): 6.5076 6.5076 9.0384
angles (deg): 68.90 68.90 90.00
Last column: nearest neighbours and their distance in Å.
Element x y z (fractional)
Sn 0.1782 0.6250 0.2500  2 Mg 2.84
Sn 0.5718 0.1250 0.2500  2 Mg 2.84
Sn 0.3750 0.4282 0.7500  2 Mg 2.84
I 0.7500 0.2500 0.5000  4 Sn 3.21
I 0.0000 0.0000 0.0000  4 Sn 3.21
Mg 0.5000 0.5000 0.0000  4 Sn 2.84
Sn 0.8750 0.8218 0.7500  2 Mg 2.84
Mg 0.2500 0.7500 0.5000  4 Sn 2.84

What did the sixth record say?
VASP calculation (PBE-GGA) on MgSn2I after structural relaxation.

Summary:
Total energy (eV/atom): -2.464
Crystal system: tetragonal
Volume (Å³/atom): 41.2
ΔE to the lowest computed polymorph (kJ per mole of atoms): 10.79
Raw formation energy (eV per atom): 0.324

a b c (Å): 6.5076 6.5076 9.0384
angles (deg): 68.90 68.90 90.00
Last column: nearest neighbours and their distance in Å.
Element x y z (fractional)
Sn 0.1782 0.6250 0.2500  2 Mg 2.84
Sn 0.5718 0.1250 0.2500  2 Mg 2.84
Sn 0.3750 0.4282 0.7500  2 Mg 2.84
I 0.7500 0.2500 0.5000  4 Sn 3.21
I 0.0000 0.0000 0.0000  4 Sn 3.21
Mg 0.5000 0.5000 0.0000  4 Sn 2.84
Sn 0.8750 0.8218 0.7500  2 Mg 2.84
Mg 0.2500 0.7500 0.5000  4 Sn 2.84

- Among the records above, which one has the lowest total energy?
  SmZr2Pa

- Look up the total energy of the first one.
  -2.685 eV/atom